1.
Below is a relaxed Na5Sn2Hg12 crystal, with properties calculated at the PBE-GGA level.

POSCAR file:
```
Na5Sn2Hg12
1.0
-7.6358 -1.6046 -0.8337
0.1566 -4.5392 7.3015
-1.6259 3.9113 7.5299
Na Hg Sn
5 12 2
Direct
0.5623 0.7618 0.4764
0.9954 0.7068 0.5863
0.0046 0.2932 0.4137
0.4377 0.2382 0.5236
0.5000 0.0000 0.0000
0.3190 0.8307 0.7310
0.2510 0.6655 0.3022
0.7490 0.9677 0.6978
0.6810 0.5618 0.2690
0.8788 0.9125 0.1750
0.2510 0.0323 0.3022
0.7490 0.3345 0.6978
0.3452 0.4386 0.1229
0.6810 0.1693 0.2690
0.6548 0.5614 0.8771
0.1212 0.0875 0.8250
0.3190 0.4382 0.7310
0.0000 0.3191 0.0000
0.0000 0.6809 0.0000
```

space-group type	C2/m
total energy	-1.10	eV per atom
density	9.062	g cm⁻³
formation energy from the elements	-0.14	eV per atom
crystal system	monoclinic

---

2.
Below is a relaxed Na2SnHg8 crystal, with properties calculated at the PBE-GGA level.

POSCAR file:
```
Na2SnHg8
1.0
6.0748 0.0781 -1.6837
-0.7309 5.8313 -2.7321
-0.9683 0.2075 8.5014
Hg Na Sn
8 2 1
Direct
0.7287 0.2287 0.4575
0.2595 0.6000 0.0000
0.2344 0.3138 0.2286
0.7656 0.6862 0.7714
0.9942 0.9148 0.2286
0.7405 0.4000 0.0000
0.0058 0.0852 0.7714
0.2713 0.7713 0.5425
0.6899 0.6899 0.3797
0.3101 0.3101 0.6203
0.5000 0.0000 0.0000
```

space-group type	C2/m
total energy	-0.92	eV per atom
energy above the lowest structure with this stoichiometry	0.21	eV/f.u.
density	9.925	g cm⁻³
formation energy from the elements	-0.10	eV per atom
crystal system	monoclinic

---

3.
Below is a relaxed Na4Sn4Hg crystal, with properties calculated at the PBE-GGA level.

POSCAR file:
```
Na4Sn4Hg
1.0
4.5552 0.0000 0.0000
-2.2776 12.8890 2.2776
0.0000 0.0000 4.5552
Sn Na Hg
4 4 1
Direct
0.3546 0.1863 0.1683
0.1683 0.8137 0.8317
0.6454 0.8137 0.3546
0.8316 0.1863 0.6454
0.9430 0.3792 0.0570
0.0570 0.6208 0.4362
0.5638 0.6208 0.9430
0.4362 0.3792 0.5638
0.0000 0.0000 0.0000
```

space-group type	I-42m
total energy	-2.38	eV per atom
density	4.765	g cm⁻³
formation energy from the elements	0.02	eV per atom
crystal system	tetragonal

---

4.
Below is a relaxed Na4Sn2Hg5 crystal, with properties calculated at the PBE-GGA level.

POSCAR file:
```
Na4Sn2Hg5
1.0
3.3421 0.0000 0.0000
0.0000 8.1713 -0.2486
0.0000 -1.1069 10.5637
Hg Na Sn
5 4 2
Direct
0.0000 0.1891 0.1641
0.0000 0.4460 0.7025
0.0000 0.8109 0.8359
0.0000 0.5000 0.0000
0.0000 0.5540 0.2975
0.5000 0.2917 0.4394
0.5000 0.7083 0.5606
0.5000 0.1701 0.9026
0.5000 0.8299 0.0974
0.0000 0.0678 0.6413
0.0000 0.9322 0.3587
```

space-group type	P2/m
total energy	-1.54	eV per atom
energy above the lowest structure with this stoichiometry	0.00	eV/f.u.
density	7.694	g cm⁻³
formation energy from the elements	-0.19	eV per atom
crystal system	monoclinic

---

5.
Below is a relaxed Na2Sn2Hg crystal, with properties calculated at the PBE-GGA level.

POSCAR file:
```
Na2Sn2Hg
1.0
4.7999 0.0000 0.0000
2.4000 5.6206 -0.0987
2.4000 0.6523 10.5998
Hg Sn Na
2 4 4
Direct
0.1991 0.9238 0.6780
0.8009 0.0762 0.3220
0.9539 0.1869 0.9053
0.8539 0.7379 0.5544
0.0461 0.8131 0.0947
0.1461 0.2621 0.4456
0.6805 0.7548 0.8842
0.3195 0.2452 0.1158
0.5138 0.6619 0.3106
0.4862 0.3381 0.6894
```

space-group type	C2/m
total energy	-2.34	eV per atom
energy above the lowest structure with this stoichiometry	0.08	eV/f.u.
density	5.615	g cm⁻³
formation energy from the elements	-0.15	eV per atom
crystal system	monoclinic

---

6.
Below is a relaxed NaSnHg4 crystal, with properties calculated at the PBE-GGA level.

POSCAR file:
```
NaSnHg4
1.0
-1.4926 4.2836 -4.0546
-2.4983 -1.5825 -5.3170
-5.8540 1.2403 -1.0994
Hg Na Sn
4 1 1
Direct
0.6247 0.6247 0.6247
0.1258 0.6247 0.6247
0.6247 0.1258 0.6247
0.6247 0.6247 0.1258
0.2500 0.2500 0.2500
0.0000 0.0000 0.0000
```

space-group type	F-43m
total energy	-1.10	eV per atom
energy above the lowest structure with this stoichiometry	0.41	eV/f.u.
density	9.844	g cm⁻³
formation energy from the elements	-0.01	eV per atom
crystal system	cubic